(1)
# Ce2Y2Tl3 | Alexandria via LeMat-Bulk | PBE | optimized geometry
# - Magnetization: 1.59 μB/f.u.
# - Polymorph energy (0 for the lowest one): 0.00 eV per formula unit
# - Calculated volume: 27.33 A^3/atom
data_Ce2Y2Tl3
_chemical_formula_sum 'Ce4 Y4 Tl6'
_space_group_name_H-M_alt 'C m m m'
_space_group_IT_number 65
_space_group_name_Hall '-C 2 2'
_cell_length_a 4.3503
_cell_length_b 24.8792
_cell_length_c 3.5346
_cell_angle_alpha 90.00
_cell_angle_beta 90.00
_cell_angle_gamma 90.00
loop_
_atom_site_label
_atom_site_type_symbol
_atom_site_fract_x
_atom_site_fract_y
_atom_site_fract_z
_atom_site_occupancy
Ce1 Ce 0.0000 0.2149 0.0000 1
Y1 Y 0.0000 0.0723 0.0000 1
Tl1 Tl 0.0000 0.3577 0.5000 1
Tl2 Tl 0.0000 0.5000 0.5000 1

(2)
# CeY7Tl4 | Alexandria via LeMat-Bulk | PBE | optimized geometry
# - Magnetization: 0.86 μB/f.u.
# - Uncorrected energy: -122.2 eV for the cell shown
# - Calculated volume: 30.23 A^3/atom
data_CeY7Tl4
_chemical_formula_sum 'Ce2 Y14 Tl8'
_space_group_name_H-M_alt 'C 1 2/m 1'
_space_group_IT_number 12
_cell_length_a 14.8486
_cell_length_b 5.6827
_cell_length_c 10.1828
_cell_angle_alpha 90.00
_cell_angle_beta 122.41
_cell_angle_gamma 90.00
loop_
_space_group_symop_operation_xyz
'x,y,z'
'-x,-y,-z'
'-x,y,-z'
'x,-y,z'
'x+1/2,y+1/2,z'
'-x+1/2,-y+1/2,-z'
'-x+1/2,y+1/2,-z'
'x+1/2,-y+1/2,z'
loop_
_atom_site_label
_atom_site_type_symbol
_atom_site_fract_x
_atom_site_fract_y
_atom_site_fract_z
_atom_site_occupancy
Ce1 Ce 0.0000 0.0000 0.0000 1
Y1 Y 0.0000 0.5000 0.0000 1
Y2 Y 0.0660 0.0000 0.4016 1
Y3 Y 0.2054 0.0000 0.8797 1
Y4 Y 0.2339 0.5000 0.6794 1
Tl1 Tl 0.0591 0.5000 0.7434 1
Tl2 Tl 0.1833 0.5000 0.3349 1

(3)
# Ce5YTl8 | Alexandria via LeMat-Bulk | PBE | optimized geometry
# - Magnetization: 6.07 μB/f.u.
# - Uncorrected energy: -114.6 eV for the cell shown
# - Calculated volume: 30.58 A^3/atom
data_Ce5YTl8
_chemical_formula_sum 'Ce10 Y2 Tl16'
_space_group_name_H-M_alt 'I -4'
_space_group_IT_number 82
_cell_length_a 9.5362
_cell_length_b 9.5362
_cell_length_c 9.4165
_cell_angle_alpha 90.00
_cell_angle_beta 90.00
_cell_angle_gamma 90.00
loop_
_space_group_symop_operation_xyz
'x,y,z'
'y,-x,-z'
'-x,-y,z'
'-y,x,-z'
'x+1/2,y+1/2,z+1/2'
'y+1/2,-x+1/2,-z+1/2'
'-x+1/2,-y+1/2,z+1/2'
'-y+1/2,x+1/2,-z+1/2'
loop_
_atom_site_label
_atom_site_type_symbol
_atom_site_fract_x
_atom_site_fract_y
_atom_site_fract_z
_atom_site_occupancy
Ce1 Ce 0.0000 0.0000 0.0000 1
Ce2 Ce 0.1203 0.7549 0.6269 1
Y1 Y 0.0000 0.5000 0.2500 1
Tl1 Tl 0.0783 0.6650 0.9633 1
Tl2 Tl 0.0869 0.8246 0.2890 1

(4)
# Ce2YTl4 | Alexandria via LeMat-Bulk | PBE | optimized geometry
# - Magnetization: 2.52 μB/f.u.
# - Polymorph energy (0 for the lowest one): 1.84 eV per formula unit
# - Calculated volume: 32.40 A^3/atom
data_Ce2YTl4
_chemical_formula_sum 'Ce4 Y2 Tl8'
_space_group_name_H-M_alt 'C m m m'
_space_group_IT_number 65
_space_group_name_Hall '-C 2 2'
_cell_length_a 6.4555
_cell_length_b 13.8495
_cell_length_c 5.0733
_cell_angle_alpha 90.00
_cell_angle_beta 90.00
_cell_angle_gamma 90.00
loop_
_atom_site_label
_atom_site_type_symbol
_atom_site_fract_x
_atom_site_fract_y
_atom_site_fract_z
_atom_site_occupancy
Ce1 Ce 0.0000 0.1007 0.0000 1
Y1 Y 0.0000 0.5000 0.5000 1
Tl1 Tl 0.0000 0.2435 0.5000 1
Tl2 Tl 0.0000 0.3692 0.0000 1

(5)
# Ce2Y2Tl5 | Alexandria via LeMat-Bulk | PBE | optimized geometry
# - Magnetization: 1.64 μB/f.u.
# - Uncorrected energy: -152.1 eV for the cell shown
# - Calculated volume: 29.18 A^3/atom
data_Ce2Y2Tl5
_chemical_formula_sum 'Ce8 Y8 Tl20'
_space_group_name_H-M_alt 'I m a 2'
_space_group_IT_number 46
_cell_length_a 17.5695
_cell_length_b 9.2086
_cell_length_c 6.4921
_cell_angle_alpha 90.00
_cell_angle_beta 90.00
_cell_angle_gamma 90.00
loop_
_space_group_symop_operation_xyz
'x,y,z'
'-x,-y,z'
'-x+1/2,y,z'
'x+1/2,-y,z'
'x+1/2,y+1/2,z+1/2'
'-x+1/2,-y+1/2,z+1/2'
'-x,y+1/2,z+1/2'
'x,-y+1/2,z+1/2'
loop_
_atom_site_label
_atom_site_type_symbol
_atom_site_fract_x
_atom_site_fract_y
_atom_site_fract_z
_atom_site_occupancy
Ce1 Ce 0.0648 0.0768 0.0000 1
Y1 Y 0.0000 0.0000 0.5002 1
Y2 Y 0.2500 0.6728 0.0003 1
Tl1 Tl 0.0893 0.7503 0.2499 1
Tl2 Tl 0.1644 0.1351 0.4939 1
Tl3 Tl 0.2500 0.0242 0.9916 1

(6)
# CeYTlZn | Alexandria via LeMat-Bulk | PBE | optimized geometry
# - Magnetization: 1.24 μB/f.u.
# - Uncorrected energy: -68.3 eV for the cell shown
# - Calculated volume: 26.36 A^3/atom
data_CeYTlZn
_chemical_formula_sum 'Ce4 Y4 Tl4 Zn4'
_space_group_name_H-M_alt 'F -4 3 m'
_space_group_IT_number 216
_space_group_name_Hall 'F -4 2 3'
_cell_length_a 7.4994
_cell_length_b 7.4994
_cell_length_c 7.4994
_cell_angle_alpha 90.00
_cell_angle_beta 90.00
_cell_angle_gamma 90.00
loop_
_atom_site_label
_atom_site_type_symbol
_atom_site_fract_x
_atom_site_fract_y
_atom_site_fract_z
_atom_site_occupancy
Ce1 Ce 0.0000 0.0000 0.0000 1
Y1 Y 0.0000 0.0000 0.5000 1
Tl1 Tl 0.2500 0.2500 0.2500 1
Zn1 Zn 0.2500 0.2500 0.7500 1

(7)
# Ce4TlZn3 | Alexandria via LeMat-Bulk | PBE | optimized geometry
# - Magnetization: 0.06 μB/f.u.
# - Uncorrected energy: -62.9 eV for the cell shown
# - Calculated volume: 23.13 A^3/atom
data_Ce4TlZn3
_chemical_formula_sum 'Ce8 Tl2 Zn6'
_space_group_name_H-M_alt 'I 4/m m m'
_space_group_IT_number 139
_space_group_name_Hall '-I 4 2'
_cell_length_a 4.4891
_cell_length_b 4.4891
_cell_length_c 18.3643
_cell_angle_alpha 90.00
_cell_angle_beta 90.00
_cell_angle_gamma 90.00
loop_
_atom_site_label
_atom_site_type_symbol
_atom_site_fract_x
_atom_site_fract_y
_atom_site_fract_z
_atom_site_occupancy
Ce1 Ce 0.0000 0.5000 0.1310 1
Tl1 Tl 0.0000 0.0000 0.0000 1
Zn1 Zn 0.0000 0.0000 0.2499 1
Zn2 Zn 0.0000 0.0000 0.5000 1

(8)
# CeTlZn2 | Alexandria via LeMat-Bulk | PBE | optimized geometry
# - Magnetization: 1.03 μB/f.u.
# - Uncorrected energy: -11.3 eV for the cell shown
# - Calculated volume: 23.05 A^3/atom
data_CeTlZn2
_chemical_formula_sum 'Ce1 Tl1 Zn2'
_space_group_name_H-M_alt 'P 4/m m m'
_space_group_IT_number 123
_space_group_name_Hall '-P 4 2'
_cell_length_a 4.6926
_cell_length_b 4.6926
_cell_length_c 4.1862
_cell_angle_alpha 90.00
_cell_angle_beta 90.00
_cell_angle_gamma 90.00
loop_
_atom_site_label
_atom_site_type_symbol
_atom_site_fract_x
_atom_site_fract_y
_atom_site_fract_z
_atom_site_occupancy
Ce1 Ce 0.0000 0.0000 0.0000 1
Tl1 Tl 0.5000 0.5000 0.0000 1
Zn1 Zn 0.0000 0.5000 0.5000 1

(9)
# CeTlZn | Alexandria via LeMat-Bulk | PBE | optimized geometry
# - Magnetization: 1.02 μB/f.u.
# - Uncorrected energy: -20.4 eV for the cell shown
# - Calculated volume: 24.70 A^3/atom
data_CeTlZn
_chemical_formula_sum 'Ce2 Tl2 Zn2'
_space_group_name_H-M_alt 'P -3 m 1'
_space_group_IT_number 164
_space_group_name_Hall '-P 3 2"'
_cell_length_a 4.8861
_cell_length_b 4.8861
_cell_length_c 7.1669
_cell_angle_alpha 90.00
_cell_angle_beta 90.00
_cell_angle_gamma 120.00
loop_
_atom_site_label
_atom_site_type_symbol
_atom_site_fract_x
_atom_site_fract_y
_atom_site_fract_z
_atom_site_occupancy
Ce1 Ce 0.0000 0.0000 0.1984 1
Tl1 Tl 0.3333 0.6667 0.4309 1
Zn1 Zn 0.3333 0.6667 0.0079 1

(10)
# Ce4TlZn2 | Alexandria via LeMat-Bulk | PBE | optimized geometry
# - Magnetization: 1.82 μB/f.u.
# - Polymorph energy (0 for the lowest one): 0.00 eV per formula unit
# - Calculated volume: 24.14 A^3/atom
data_Ce4TlZn2
_chemical_formula_sum 'Ce8 Tl2 Zn4'
_space_group_name_H-M_alt 'C 1 2/m 1'
_space_group_IT_number 12
_cell_length_a 10.7088
_cell_length_b 4.2654
_cell_length_c 7.4166
_cell_angle_alpha 90.00
_cell_angle_beta 94.12
_cell_angle_gamma 90.00
loop_
_space_group_symop_operation_xyz
'x,y,z'
'-x,-y,-z'
'-x,y,-z'
'x,-y,z'
'x+1/2,y+1/2,z'
'-x+1/2,-y+1/2,-z'
'-x+1/2,y+1/2,-z'
'x+1/2,-y+1/2,z'
loop_
_atom_site_label
_atom_site_type_symbol
_atom_site_fract_x
_atom_site_fract_y
_atom_site_fract_z
_atom_site_occupancy
Ce1 Ce 0.1222 0.0000 0.1961 1
Ce2 Ce 0.2216 0.0000 0.6767 1
Tl1 Tl 0.0000 0.5000 0.5000 1
Zn1 Zn 0.0987 0.5000 0.9038 1